This record from the Alexandria database describes a geometry-optimized CaIn3Ag structure. The functional is GGA-PBE.

**DFT formation energy**: 0.0575 eV/atom
**Magnetic moment**: 0.000 μB/atom

Lattice parameters (Å, degrees): 5.353 5.353 5.353 90.00 90.00 90.00
Positions (direct):
Ag: 0.000 0.000 0.000
In: 0.500 0.000 0.000
In: 0.000 0.000 0.500
In: 0.000 0.500 0.000
Ca: 0.500 0.500 0.500